(1)
Compound: La8GaBi5
Source: Alexandria via LeMat-Bulk
Functional: PBE
Structure: optimized geometry

The structure in extended XYZ format:
```
14
Lattice="8.055 0.000 -2.750 -4.028 6.922 -2.881 0.002 0.000 8.511" Properties=species:S:1:pos:R:3 pbc="T T T"
Bi 2.516 0.886 -1.335
Bi 4.028 0.000 2.881
Bi 3.577 6.036 -2.819
Bi 3.511 4.373 1.422
Bi 6.507 2.549 -2.768
La 1.403 4.189 -1.155
La 3.389 2.733 4.582
La -1.971 5.167 1.950
La 7.523 0.834 3.136
La 1.371 6.088 3.224
La -1.947 5.097 -2.419
La 1.110 1.825 1.820
La 5.236 1.756 0.385
Ga 0.001 3.461 4.256
```

Output
**Total magnetization**: 0.00 Bohr magnetons per cell
**DOS(E_F)**: 16.95 states/eV/f.u.
**Volume**: 33.901 Å³ per atom
**DFT total energy**: -5.27 eV per atom
**ΔH_f (0 K)**: -851 meV/atom

***

(2)
Compound: La5GaBi2
Source: Alexandria via LeMat-Bulk
Functional: PBE
Structure: optimized geometry

The structure in extended XYZ format:
```
8
Lattice="-0.823 1.318 7.179 3.665 -6.179 1.532 2.552 4.792 -4.333" Properties=species:S:1:pos:R:3 pbc="T T T"
La 2.561 4.269 1.546
La 3.076 3.331 -1.978
La 4.988 0.218 -1.505
La 4.386 1.102 2.023
La 3.184 -1.382 4.366
Ga 1.763 1.047 0.010
Bi 3.597 -2.037 0.774
Bi 1.355 1.709 3.597
```

Output
**Total magnetization**: 0.00 Bohr magnetons per cell
**DOS(E_F)**: 8.87 states/eV/f.u.
**Volume**: 31.174 Å³ per atom
**DFT total energy**: -4.98 eV per atom
**ΔH_f (0 K)**: -551 meV/atom